Record 1
{"formula": "SrTaCuS4", "functional": "PBE-GGA", "state": "optimized geometry", "volume_a3_per_atom": 27.59, "spacegroup": "P2_1/m, No. 11", "crystal_system": "monoclinic", "e_form_raw_ev_per_fu": -7.73, "energy_ev_per_cell": -83.7, "lattice_angstrom": [[5.691, 0.000, 0.000], [0.000, 8.937, 0.000], [-1.267, 0.000, 7.596]], "species": ["Sr", "Sr", "Ta", "Ta", "Cu", "Cu", "S", "S", "S", "S", "S", "S", "S", "S"], "fractional_positions": [[0.136, 0.250, 0.134], [0.864, 0.750, 0.866], [0.243, 0.750, 0.279], [0.757, 0.250, 0.721], [0.266, 0.250, 0.722], [0.734, 0.750, 0.278], [0.013, 0.049, 0.746], [0.013, 0.451, 0.746], [0.420, 0.750, 0.031], [0.464, 0.250, 0.482], [0.536, 0.750, 0.518], [0.580, 0.250, 0.969], [0.987, 0.549, 0.254], [0.987, 0.951, 0.254]]}

***

Record 2
{"formula": "Sr2TaCu2S6", "functional": "PBE-GGA", "state": "optimized geometry", "volume_a3_per_atom": 23.40, "spacegroup": "R-3m, No. 166", "crystal_system": "trigonal", "e_form_raw_ev_per_fu": -10.54, "energy_ev_per_cell": -58.7, "lattice_angstrom": [[3.518, 2.031, 6.003], [-3.518, 2.031, 6.003], [0.000, -4.063, 6.003]], "species": ["Sr", "Sr", "Ta", "Cu", "Cu", "S", "S", "S", "S", "S", "S"], "fractional_positions": [[0.220, 0.220, 0.220], [0.780, 0.780, 0.780], [0.000, 0.000, 0.000], [0.414, 0.414, 0.414], [0.586, 0.586, 0.586], [0.225, 0.759, 0.759], [0.241, 0.241, 0.775], [0.241, 0.775, 0.241], [0.759, 0.225, 0.759], [0.759, 0.759, 0.225], [0.775, 0.241, 0.241]]}

***

Record 3
{"formula": "Sr2TbCu2S4", "functional": "PBE-GGA", "state": "optimized geometry", "volume_a3_per_atom": 20.94, "spacegroup": "C2/m, No. 12", "crystal_system": "monoclinic", "e_form_raw_ev_per_fu": -12.22, "energy_ev_per_cell": -44.9, "lattice_angstrom": [[7.224, -1.940, 0.000], [7.224, 1.940, 0.000], [-2.487, 0.000, 6.724]], "species": ["Sr", "Sr", "Tb", "Cu", "Cu", "S", "S", "S", "S"], "fractional_positions": [[0.134, 0.134, 0.071], [0.866, 0.866, 0.929], [0.000, 0.000, 0.500], [0.317, 0.317, 0.501], [0.683, 0.683, 0.499], [0.205, 0.205, 0.707], [0.474, 0.474, 0.753], [0.526, 0.526, 0.247], [0.795, 0.795, 0.293]]}

***

Record 4
{"formula": "SrTb2CuS4", "functional": "PBE-GGA", "state": "optimized geometry", "volume_a3_per_atom": 22.07, "spacegroup": "Cmcm, No. 63", "crystal_system": "orthorhombic", "e_form_raw_ev_per_fu": -14.03, "energy_ev_per_cell": -91.2, "lattice_angstrom": [[1.964, -6.595, 0.000], [1.964, 6.595, 0.000], [0.000, 0.000, 13.635]], "species": ["Sr", "Sr", "Tb", "Tb", "Tb", "Tb", "Cu", "Cu", "S", "S", "S", "S", "S", "S", "S", "S"], "fractional_positions": [[0.116, 0.884, 0.750], [0.884, 0.116, 0.250], [0.371, 0.629, 0.559], [0.371, 0.629, 0.941], [0.629, 0.371, 0.059], [0.629, 0.371, 0.441], [0.154, 0.846, 0.250], [0.846, 0.154, 0.750], [0.000, 0.000, 0.000], [0.000, 0.000, 0.500], [0.271, 0.729, 0.120], [0.271, 0.729, 0.380], [0.443, 0.557, 0.750], [0.557, 0.443, 0.250], [0.729, 0.271, 0.620], [0.729, 0.271, 0.880]]}

***

- What is the formula in the second record?
  Sr2TaCu2S6